1.
IrS2Br (PBE, relaxed); density of states at the Fermi level = 6.0 states/eV per cell; electronic total energy = -0.3265 Ry per atom; energy above the most stable polymorph in this dataset = 0.5001 eV/atom; formation energy from raw total energies = 1.0 eV per formula unit; symmetry = Cmcm (63)
1.0
1.4790 -13.0969 0.0000
1.4790 13.0969 0.0000
0.0000 0.0000 4.4418
Ir S Br
2 4 2
direct
0.1955 0.8045 0.7500 Ir
0.8045 0.1955 0.2500 Ir
0.2861 0.7139 0.7500 S
0.3717 0.6283 0.2500 S
0.6283 0.3717 0.7500 S
0.7139 0.2861 0.2500 S
0.4525 0.5475 0.7500 Br
0.5475 0.4525 0.2500 Br

2.
IrS2Br (PBE, relaxed); density of states at the Fermi level = 2.9 states/eV per cell; electronic total energy = -0.3588 Ry per atom; energy above the most stable polymorph in this dataset = 0.0603 eV/atom; formation energy from raw total energies = -0.7 eV per formula unit; symmetry = Pm (6)
1.0
5.7129 0.0000 0.0000
0.0000 3.5953 0.0000
-2.3190 0.0000 8.7099
Ir S Br
2 4 2
direct
0.0000 0.0000 0.0000 Ir
0.4351 0.5000 0.7400 Ir
0.0640 0.5000 0.8352 S
0.5972 0.0000 0.8912 S
0.7726 0.5000 0.6391 S
0.9468 0.5000 0.1600 S
0.2486 0.0000 0.5390 Br
0.4350 0.0000 0.1498 Br

3.
IrS2Br (PBE, relaxed); density of states at the Fermi level = 3.0 states/eV per cell; electronic total energy = -0.3379 Ry per atom; energy above the most stable polymorph in this dataset = 0.3446 eV/atom; formation energy from raw total energies = 0.4 eV per formula unit; symmetry = Pnma (62)
1.0
6.6050 0.0000 0.0000
0.0000 4.5527 0.0000
0.0000 0.0000 11.0036
Ir S Br
4 8 4
direct
0.0276 0.2500 0.1317 Ir
0.4724 0.7500 0.6317 Ir
0.5276 0.2500 0.3683 Ir
0.9724 0.7500 0.8683 Ir
0.0744 0.7500 0.0803 S
0.1866 0.2500 0.3176 S
0.3134 0.7500 0.8176 S
0.4256 0.2500 0.5803 S
0.5744 0.7500 0.4197 S
0.6866 0.2500 0.1824 S
0.8134 0.7500 0.6824 S
0.9256 0.2500 0.9197 S
0.0728 0.7500 0.3896 Br
0.4272 0.2500 0.8896 Br
0.5728 0.7500 0.1104 Br
0.9272 0.2500 0.6104 Br

4.
IrS2Br (PBE, relaxed); density of states at the Fermi level = 4.6 states/eV per cell; electronic total energy = -0.3489 Ry per atom; energy above the most stable polymorph in this dataset = 0.1947 eV/atom; formation energy from raw total energies = -0.2 eV per formula unit; symmetry = C2/m (12)
1.0
3.0604 -1.7674 0.0000
3.0604 1.7674 0.0000
-2.1093 0.0000 7.5708
Ir S Br
1 2 1
direct
0.0000 0.0000 0.0000 Ir
0.2775 0.2775 0.8383 S
0.7225 0.7225 0.1617 S
0.5000 0.5000 0.5000 Br

5.
IrSBr2 (PBE, relaxed); density of states at the Fermi level = 2.6 states/eV per cell; electronic total energy = -0.2819 Ry per atom; energy above the most stable polymorph in this dataset = 0.0000 eV/atom; formation energy from raw total energies = 1.0 eV per formula unit; symmetry = I-42d (122)
1.0
-5.2786 5.2786 2.1673
5.2786 -5.2786 2.1673
5.2786 5.2786 -2.1673
Ir S Br
2 2 4
direct
0.0000 0.0000 0.0000 Ir
0.7500 0.2500 0.5000 Ir
0.2500 0.7500 0.5000 S
0.5000 0.5000 0.0000 S
0.3750 0.1243 0.2493 Br
0.8743 0.6250 0.7493 Br
0.8750 0.1257 0.7507 Br
0.8757 0.1250 0.2507 Br

6.
IrSBr3 (PBE, relaxed); density of states at the Fermi level = 6.8 states/eV per cell; electronic total energy = -0.1687 Ry per atom; energy above the most stable polymorph in this dataset = 0.5770 eV/atom; formation energy from raw total energies = 6.5 eV per formula unit; symmetry = Pm-3m (221)
1.0
5.1003 0.0000 0.0000
0.0000 5.1003 0.0000
0.0000 0.0000 5.1003
Ir S Br
1 1 3
direct
0.0000 0.0000 0.0000 Ir
0.5000 0.5000 0.5000 S
0.0000 0.5000 0.5000 Br
0.5000 0.0000 0.5000 Br
0.5000 0.5000 0.0000 Br

7.
IrS2Br (PBE, relaxed); density of states at the Fermi level = 0.0 states/eV per cell; electronic total energy = -0.3618 Ry per atom; energy above the most stable polymorph in this dataset = 0.0193 eV/atom; formation energy from raw total energies = -0.9 eV per formula unit; symmetry = P3m1 (156)
1.0
3.6708 0.0000 0.0000
-1.8354 3.1790 0.0000
0.0000 0.0000 7.8128
Ir S Br
1 2 1
direct
0.0000 0.0000 0.0000 Ir
0.3333 0.6667 0.8737 S
0.6667 0.3333 0.1561 S
0.3333 0.6667 0.5861 Br

8.
IrS2Br (PBE, relaxed); density of states at the Fermi level = 1.7 states/eV per cell; electronic total energy = -0.2925 Ry per atom; energy above the most stable polymorph in this dataset = 0.9615 eV/atom; formation energy from raw total energies = 2.9 eV per formula unit; symmetry = P4/mmm (123)
1.0
3.7874 0.0000 0.0000
0.0000 3.7874 0.0000
0.0000 0.0000 4.9029
Ir S Br
1 2 1
direct
0.0000 0.0000 0.0000 Ir
0.0000 0.0000 0.5000 S
0.5000 0.5000 0.0000 S
0.5000 0.5000 0.5000 Br

9.
Ir2SBr (PBE, relaxed); density of states at the Fermi level = 6.8 states/eV per cell; electronic total energy = -0.3988 Ry per atom; energy above the most stable polymorph in this dataset = 0.0000 eV/atom; formation energy from raw total energies = 1.8 eV per formula unit; symmetry = I-42d (122)
1.0
-2.3680 2.3680 7.0859
2.3680 -2.3680 7.0859
2.3680 2.3680 -7.0859
Ir S Br
4 2 2
direct
0.0270 0.6250 0.9020 Ir
0.3750 0.2770 0.4020 Ir
0.7230 0.1250 0.0980 Ir
0.8750 0.9730 0.5980 Ir
0.0000 0.0000 0.0000 S
0.7500 0.2500 0.5000 S
0.2500 0.7500 0.5000 Br
0.5000 0.5000 0.0000 Br

10.
IrS2Br (PBE, relaxed); density of states at the Fermi level = 2.3 states/eV per cell; electronic total energy = -0.3605 Ry per atom; energy above the most stable polymorph in this dataset = 0.0375 eV/atom; formation energy from raw total energies = -0.8 eV per formula unit; symmetry = P1 (1)
1.0
3.5180 0.0000 0.0000
1.7590 7.8573 0.0000
0.0141 3.1536 7.5300
Ir S Br
2 4 2
direct
0.0000 0.0000 0.0000 Ir
0.3339 0.3307 0.1899 Ir
0.4599 0.0817 0.8063 S
0.4811 0.0347 0.3726 S
0.5600 0.8781 0.2233 S
0.8528 0.2943 0.0185 S
0.1610 0.6782 0.9600 Br
0.7998 0.3972 0.3902 Br

11.
IrS2Br (PBE, relaxed); density of states at the Fermi level = 6.2 states/eV per cell; electronic total energy = -0.3371 Ry per atom; energy above the most stable polymorph in this dataset = 0.3559 eV/atom; formation energy from raw total energies = 0.4 eV per formula unit; symmetry = Pna2_1 (33)
1.0
6.7425 0.0000 0.0000
0.0000 8.7041 0.0000
0.0000 0.0000 6.7304
Ir S Br
4 8 4
direct
0.0401 0.1244 0.0000 Ir
0.4599 0.6244 0.5000 Ir
0.5401 0.3756 0.0000 Ir
0.9599 0.8756 0.5000 Ir
0.0444 0.0849 0.6709 S
0.1427 0.6739 0.5820 S
0.3573 0.1739 0.0820 S
0.4556 0.5849 0.1709 S
0.5444 0.4151 0.6709 S
0.6427 0.8261 0.5820 S
0.8573 0.3261 0.0820 S
0.9556 0.9151 0.1709 S
0.0339 0.3758 0.5565 Br
0.4661 0.8758 0.0565 Br
0.5339 0.1242 0.5565 Br
0.9661 0.6242 0.0565 Br

12.
IrS2Br5 (PBE, relaxed); density of states at the Fermi level = 2.7 states/eV per cell; electronic total energy = -0.2343 Ry per atom; formation energy from raw total energies = 0.0 eV per formula unit; symmetry = P1 (1)
1.0
4.9852 0.0000 0.0000
-0.9567 8.2899 0.0000
-0.8605 -3.9492 7.4940
Ir S Br
1 2 5
direct
0.0000 0.0000 0.0000 Ir
0.4586 0.3921 0.3933 S
0.5416 0.6067 0.6079 S
0.0705 0.0903 0.3285 Br
0.0791 0.3294 0.0893 Br
0.4987 0.9588 0.0378 Br
0.9217 0.6619 0.8995 Br
0.9288 0.9210 0.6804 Br

Question: electronic total energy of number 4 (IrS2Br)?
Answer: -0.3489 Ry per atom

Question: Which value of density of states at the Fermi level does entry 6 give?
Answer: 6.8 states/eV per cell